First-principles (GGA-PBE) data for a relaxed NaCa2GeH crystal, as listed in Alexandria.

Computed properties:
DOS at the Fermi energy: 0.8 states/eV/f.u.
space group: P4/mmm (123)
raw total energy: -3.053 eV/atom

a b c (Å): 4.889 4.889 4.377
angles (deg): 90.00 90.00 90.00
Positions (direct):
Na1 0.000 0.000 0.000
Ca1 0.000 0.500 0.500
Ca2 0.500 0.000 0.500
Ge1 0.500 0.500 0.000
H1 0.000 0.000 0.500